1.
A geometry-optimized Tm6HgTe3P2 structure. Source: the Alexandria database, functional PBE.

The calculation puts the calculated density at 8.86 g/cm3. The value obtained for the raw total energy is -5.1920 eV/atom. Its density of states at the Fermi level is 4.0 states/eV/f.u.

It has space group C2/m (No. 12), with a = 18.336 Å, b = 4.084 Å, c = 8.557 Å, α = 90.00°, β = 103.95° and γ = 90.00°. The asymmetric unit holds Tm at (0.013, 0.000, 0.250), Tm at (0.166, 0.500, 0.115), Tm at (0.176, 0.500, 0.563), Hg at (0.000, 0.500, 0.000), Te at (0.000, 0.500, 0.500), Te at (0.165, 0.000, 0.832) and P at (0.170, 0.000, 0.340).

***

2.
A geometry-optimized Th2HgP structure. Source: the Alexandria database, functional PBE.

The calculation puts the calculated density at 10.25 g/cm3. The distance to the lowest polymorph of the same formula comes out at 0.000 eV per atom. The energy relative to the elements comes out at -0.803 eV/atom. The value obtained for the raw total energy is -5.9405 eV/atom. Its density of states at the Fermi level is 4.3 states/eV/f.u.

It has space group R-3m (No. 166, hexagonal axes), with a = 4.0508 Å, b = 4.0508 Å, c = 23.7843 Å, α = 90.00°, β = 90.00° and γ = 120.00°. The asymmetric unit holds Th at (0.0000, 0.0000, 0.2365), Hg at (0.0000, 0.0000, 0.0000) and P at (0.0000, 0.0000, 0.5000).

***

3.
A geometry-optimized Th2HgP structure. Source: the Alexandria database, functional PBE.

The calculation puts the calculated density at 10.29 g/cm3. The distance to the lowest polymorph of the same formula comes out at 0.018 eV per atom. The energy relative to the elements comes out at -0.785 eV/atom. The value obtained for the raw total energy is -5.9229 eV/atom. Its density of states at the Fermi level is 4.2 states/eV/f.u.

It has space group R3m (No. 160, hexagonal axes), with a = 3.9954 Å, b = 3.9954 Å, c = 24.3612 Å, α = 90.00°, β = 90.00° and γ = 120.00°. The asymmetric unit holds Th at (0.0000, 0.0000, 0.0000), Th at (0.0000, 0.0000, 0.1963), Hg at (0.0000, 0.0000, 0.4309) and P at (0.0000, 0.0000, 0.5987).